No. 1
VASP calculation (PBE-GGA) on crystalline NaY2ReO8 at its relaxed geometry.

Properties
The volume is 12.4 Å³/atom. The space group is P-1 (2). The formation energy (no corrections) comes out at -2.17 eV per atom. Its total moment is 0.000 Bohr magnetons per cell. The value obtained for the electronic total energy is -7.70 eV/atom.

a = 4.208 Å, b = 5.274 Å, c = 6.891 Å
α = 90.72°, β = 103.53°, γ = 91.90°
Atoms (fractional coordinates):
1 Na 0.000 0.000 0.000
2 Y 0.391 0.483 0.716
3 Y 0.609 0.517 0.284
4 Re 0.000 0.000 0.500
5 O 0.173 0.530 0.998
6 O 0.186 0.692 0.420
7 O 0.227 0.216 0.364
8 O 0.323 0.047 0.742
9 O 0.677 0.953 0.258
10 O 0.773 0.784 0.636
11 O 0.814 0.308 0.580
12 O 0.827 0.470 0.002

No. 2
VASP calculation (PBE-GGA) on crystalline NaYRe2O8 at its relaxed geometry.

Properties
The volume is 17.8 Å³/atom. The space group is P-3m1 (164). The formation energy (no corrections) comes out at -1.94 eV per atom. Its total moment is 2.036 Bohr magnetons per cell. The value obtained for the electronic total energy is -7.97 eV/atom.

a = 5.984 Å, b = 5.984 Å, c = 6.873 Å
α = 90.00°, β = 90.00°, γ = 120.00°
Atoms (fractional coordinates):
1 Na 0.000 0.000 0.000
2 Y 0.000 0.000 0.500
3 Re 0.333 0.667 0.796
4 Re 0.667 0.333 0.204
5 O 0.168 0.336 0.709
6 O 0.168 0.832 0.709
7 O 0.333 0.667 0.052
8 O 0.336 0.168 0.291
9 O 0.664 0.832 0.709
10 O 0.667 0.333 0.948
11 O 0.832 0.168 0.291
12 O 0.832 0.664 0.291

No. 3
VASP calculation (PBE-GGA) on crystalline Na3Y3ReO8 at its relaxed geometry.

Properties
The volume is 14.6 Å³/atom. The space group is R-3m (166). The formation energy (no corrections) comes out at -2.46 eV per atom. Its total moment is 3.000 Bohr magnetons per cell. The value obtained for the electronic total energy is -7.49 eV/atom.

a = 6.791 Å, b = 6.791 Å, c = 6.791 Å
α = 59.38°, β = 59.38°, γ = 59.38°
Atoms (fractional coordinates):
1 Na 0.000 0.500 0.500
2 Na 0.500 0.000 0.500
3 Na 0.500 0.500 0.000
4 Y 0.000 0.000 0.500
5 Y 0.000 0.500 0.000
6 Y 0.500 0.000 0.000
7 Re 0.500 0.500 0.500
8 O 0.237 0.237 0.237
9 O 0.261 0.719 0.719
10 O 0.281 0.281 0.739
11 O 0.281 0.739 0.281
12 O 0.719 0.261 0.719
13 O 0.719 0.719 0.261
14 O 0.739 0.281 0.281
15 O 0.763 0.763 0.763

No. 4
VASP calculation (PBE-GGA) on crystalline NaYReO6 at its relaxed geometry.

Properties
The volume is 14.8 Å³/atom. The space group is P1 (1). The formation energy (no corrections) comes out at -1.93 eV per atom. Its total moment is 1.031 Bohr magnetons per cell. The value obtained for the electronic total energy is -7.48 eV/atom.

a = 4.930 Å, b = 5.492 Å, c = 5.606 Å
α = 61.60°, β = 88.12°, γ = 89.68°
Atoms (fractional coordinates):
1 Na 0.000 0.000 0.000
2 Y 0.466 0.318 0.339
3 Re 0.533 0.656 0.696
4 O 0.291 0.389 0.937
5 O 0.296 0.693 0.372
6 O 0.306 0.941 0.686
7 O 0.706 0.948 0.376
8 O 0.721 0.401 0.622
9 O 0.743 0.637 0.962

No. 5
VASP calculation (PBE-GGA) on crystalline Na2YReO6 at its relaxed geometry.

Properties
The volume is 13.1 Å³/atom. The space group is P2_1/c (14). The formation energy (no corrections) comes out at -2.17 eV per atom. Its total moment is 0.000 Bohr magnetons per cell. The value obtained for the electronic total energy is -7.30 eV/atom.

a = 5.633 Å, b = 5.767 Å, c = 9.813 Å
α = 90.00°, β = 124.78°, γ = 90.00°
Atoms (fractional coordinates):
1 Na 0.243 0.037 0.251
2 Na 0.243 0.463 0.751
3 Na 0.757 0.537 0.249
4 Na 0.757 0.963 0.749
5 Y 0.500 0.000 0.000
6 Y 0.500 0.500 0.500
7 Re 0.000 0.000 0.500
8 Re 0.000 0.500 0.000
9 O 0.131 0.229 0.951
10 O 0.131 0.271 0.451
11 O 0.229 0.685 0.957
12 O 0.229 0.815 0.457
13 O 0.314 0.027 0.727
14 O 0.314 0.473 0.227
15 O 0.686 0.527 0.773
16 O 0.686 0.973 0.273
17 O 0.771 0.185 0.543
18 O 0.771 0.315 0.043
19 O 0.869 0.729 0.549
20 O 0.869 0.771 0.049

No. 6
VASP calculation (PBE-GGA) on crystalline Na2YRe3O12 at its relaxed geometry.

Properties
The volume is 16.7 Å³/atom. The space group is R-3m (166). The formation energy (no corrections) comes out at -1.84 eV per atom. Its total moment is 0.721 Bohr magnetons per cell. The value obtained for the electronic total energy is -7.73 eV/atom.

a = 7.618 Å, b = 7.618 Å, c = 7.618 Å
α = 58.23°, β = 58.23°, γ = 58.23°
Atoms (fractional coordinates):
1 Na 0.204 0.204 0.204
2 Na 0.796 0.796 0.796
3 Y 0.500 0.500 0.500
4 Re 0.000 0.500 0.500
5 Re 0.500 0.000 0.500
6 Re 0.500 0.500 0.000
7 O 0.141 0.575 0.575
8 O 0.200 0.200 0.565
9 O 0.200 0.565 0.200
10 O 0.425 0.425 0.859
11 O 0.425 0.859 0.425
12 O 0.435 0.800 0.800
13 O 0.565 0.200 0.200
14 O 0.575 0.141 0.575
15 O 0.575 0.575 0.141
16 O 0.800 0.435 0.800
17 O 0.800 0.800 0.435
18 O 0.859 0.425 0.425

No. 7
VASP calculation (PBE-GGA) on crystalline NaYb2ReO6 at its relaxed geometry.

Properties
The volume is 12.8 Å³/atom. The space group is P-1 (2). The formation energy (no corrections) comes out at -2.40 eV per atom. Its total moment is 0.000 Bohr magnetons per cell. The value obtained for the electronic total energy is -7.06 eV/atom.

a = 5.575 Å, b = 5.584 Å, c = 5.596 Å
α = 62.56°, β = 60.19°, γ = 62.62°
Atoms (fractional coordinates):
1 Na 0.000 0.000 0.000
2 Yb 0.245 0.290 0.248
3 Yb 0.755 0.710 0.752
4 Re 0.500 0.500 0.500
5 O 0.188 0.352 0.659
6 O 0.290 0.842 0.295
7 O 0.340 0.645 0.813
8 O 0.660 0.355 0.187
9 O 0.710 0.158 0.705
10 O 0.812 0.648 0.341

No. 8
VASP calculation (PBE-GGA) on crystalline NaZnRe2O8 at its relaxed geometry.

Properties
The volume is 15.5 Å³/atom. The space group is C2/m (12). The formation energy (no corrections) comes out at -1.51 eV per atom. Its total moment is 0.000 Bohr magnetons per cell. The value obtained for the electronic total energy is -7.11 eV/atom.

a = 6.089 Å, b = 6.089 Å, c = 6.051 Å
α = 103.74°, β = 103.74°, γ = 59.51°
Atoms (fractional coordinates):
1 Na 0.000 0.000 0.000
2 Zn 0.500 0.500 0.500
3 Re 0.196 0.196 0.645
4 Re 0.804 0.804 0.355
5 O 0.118 0.637 0.270
6 O 0.147 0.147 0.344
7 O 0.363 0.882 0.730
8 O 0.371 0.371 0.720
9 O 0.629 0.629 0.280
10 O 0.637 0.118 0.270
11 O 0.853 0.853 0.656
12 O 0.882 0.363 0.730